(1)
CsBiTe3 | PBE | relaxed

The space group is Pm-3m (No. 221) and the conventional cell measures 6.081, 6.081 and 6.081 Å, with angles of 90.00, 90.00 and 90.00 degrees. The inequivalent atoms are Cs at (0.000, 0.000, 0.000), Bi at (0.500, 0.500, 0.500) and Te at (0.000, 0.500, 0.500).

As for the energy above the most stable polymorph in this dataset: 0.183 eV/atom. The value obtained for the formation energy (no corrections) is -0.91 eV per formula unit.

=====

(2)
AcTh2Ga | PBE | relaxed

The space group is P4/mmm (No. 123) and the conventional cell measures 4.951, 4.951 and 5.001 Å, with angles of 90.00, 90.00 and 90.00 degrees. The inequivalent atoms are Ac at (0.000, 0.000, 0.000), Th at (0.000, 0.500, 0.500) and Ga at (0.500, 0.500, 0.000).

As for the energy above the most stable polymorph in this dataset: 0.061 eV/atom.

=====

(3)
CuTc2Mo | PBE | relaxed

The space group is R-3m (No. 166, hexagonal axes) and the conventional cell measures 2.7450, 2.7450 and 26.7435 Å, with angles of 90.00, 90.00 and 120.00 degrees. The inequivalent atoms are Cu at (0.0000, 0.0000, 0.0000), Tc at (0.0000, 0.0000, 0.2510) and Mo at (0.0000, 0.0000, 0.5000).

As for the energy above the most stable polymorph in this dataset: 0.095 eV/atom.

=====

(4)
LaTmTh2Sb5 | PBE | relaxed

The space group is P4/mmm (No. 123) and the conventional cell measures 5.232, 5.232 and 11.693 Å, with angles of 90.00, 90.00 and 90.00 degrees. The inequivalent atoms are La at (0.000, 0.000, 0.000), Tm at (0.000, 0.000, 0.500), Th at (0.500, 0.500, 0.304), Sb at (0.000, 0.000, 0.254), Sb at (0.000, 0.500, 0.500) and Sb at (0.500, 0.500, 0.000).

The value obtained for the formation energy (no corrections) is -2.57 eV per formula unit.

=====

(5)
Sr2Nd3Te6 | PBE | relaxed

The space group is C2/m (No. 12) and the conventional cell measures 7.854, 13.600 and 8.141 Å, with angles of 90.00, 108.77 and 90.00 degrees. The inequivalent atoms are Sr at (0.000, 0.167, 0.000), Nd at (0.000, 0.000, 0.500), Nd at (0.000, 0.333, 0.500), Te at (0.244, 0.500, 0.739) and Te at (0.248, 0.165, 0.739).

The value obtained for the formation energy (no corrections) is -17.09 eV per formula unit.

=====

(6)
CeBF | PBE | relaxed

The space group is Pnma (No. 62) and the conventional cell measures 7.106, 3.188 and 7.506 Å, with angles of 90.00, 90.00 and 90.00 degrees. The inequivalent atoms are Ce at (0.207, 0.250, 0.196), B at (0.022, 0.250, 0.515) and F at (0.080, 0.250, 0.882).

The value obtained for the formation energy (no corrections) is -5.35 eV per formula unit.

=====

(7)
KNbPt2 | PBE | relaxed

The space group is Fm-3m (No. 225) and the conventional cell measures 6.738, 6.738 and 6.738 Å, with angles of 90.00, 90.00 and 90.00 degrees. The inequivalent atoms are K at (0.000, 0.000, 0.000), Nb at (0.000, 0.000, 0.500) and Pt at (0.250, 0.250, 0.250).

=====

(8)
CePrAsCl | PBE | relaxed

The space group is F-43m (No. 216) and the conventional cell measures 7.271, 7.271 and 7.271 Å, with angles of 90.00, 90.00 and 90.00 degrees. The inequivalent atoms are Ce at (0.000, 0.000, 0.000), Pr at (0.000, 0.000, 0.500), As at (0.250, 0.250, 0.250) and Cl at (0.250, 0.250, 0.750).

The value obtained for the formation energy (no corrections) is -5.22 eV per formula unit.

=====

(9)
NaInCl4 | PBE | relaxed

The space group is C2/c (No. 15) and the conventional cell measures 8.162, 15.846 and 6.549 Å, with angles of 90.00, 124.57 and 90.00 degrees. The inequivalent atoms are Na at (0.000, 0.092, 0.250), In at (0.000, 0.421, 0.750), Cl at (0.220, 0.456, 0.230) and Cl at (0.222, 0.319, 0.750).

As for the energy above the most stable polymorph in this dataset: 0.033 eV/atom. The value obtained for the formation energy (no corrections) is -7.80 eV per formula unit.

=====

| no. | magnetic moment (μB per formula unit) | E (eV per atom) | D(E_F) (states/eV/f.u.) |
| --- | --- | --- | --- |
| 1 | 0.0 | -3.01 | 6.9 |
| 2 | 0.0 | -5.54 | 4.6 |
| 3 | 0.0 | -8.67 | 4.9 |
| 4 | 0.0 | -5.27 | 5.0 |
| 5 | 0.0 | -4.87 | 3.9 |
| 6 | 0.8 | -6.61 | 5.0 |
| 7 | 0.0 | -5.47 | 4.4 |
| 8 | 1.8 | -5.61 | 6.4 |
| 9 | 0.0 | -3.21 | 0.0 |